A plane-wave DFT calculation with PBE was carried out for an optimized crystal structure of Tb8Te3AsPt3.

a = 8.315 Å, b = 8.330 Å, c = 8.657 Å
α = 118.90°, β = 89.95°, γ = 119.93°
Sites, in units of the cell vectors:
Tb: 0.263 0.525 0.288
Tb: 0.737 0.475 0.712
Tb: 0.756 0.513 0.282
Tb: 0.244 0.487 0.718
Tb: 0.756 0.026 0.282
Tb: 0.244 0.974 0.718
Tb: 0.269 0.026 0.282
Tb: 0.731 0.974 0.718
Te: 0.000 0.000 0.000
Te: 0.000 0.500 0.000
Te: 0.500 0.500 0.000
As: 0.000 0.000 0.500
Pt: 0.500 0.000 0.500
Pt: 0.500 0.500 0.500
Pt: 0.000 0.500 0.500

- Formation energy from raw total energies: -1.178 eV/atom
- Energy: -86.9 eV/cell
- Total magnetization: 0.00 μB per cell
- Space group: P-1